1.
Material: Li2Ti2NiO6
Method: DFT, PBEsol
State: optimized geometry

Summary:
Uncorrected energy (eV per atom): -7.60
Energy relative to the elements, uncorrected (eV/atom): -2.308
Space group: No. 64
Size of the total moment (Bohr magnetons per cell): 3.88

Unit cell a=4.9967 b=5.0636 c=10.2523 alpha=90.00 beta=90.00 gamma=119.56
Last column: nearest neighbours and their distance in Å.
Sites, in units of the cell vectors:
1 Li 0.8342 0.5000 0.7500  4 O 1.98-2.04
2 Li 0.6658 0.5000 0.2500  4 O 1.98-2.04
3 Li 0.3342 0.5000 0.7500  4 O 1.98-2.04
4 Li 0.1658 0.5000 0.2500  4 O 1.98-2.04
5 Ti 0.6605 0.3209 0.5000  6 O 1.92-1.99
6 Ti 0.8395 0.6791 0.0000  6 O 1.92-1.99
7 Ti 0.1605 0.3209 0.0000  6 O 1.92-1.99
8 Ti 0.3395 0.6791 0.5000  6 O 1.92-1.99
9 Ni 0.5000 0.0000 0.0000  6 O 2.01-2.13
10 Ni 0.0000 0.0000 0.5000  6 O 2.01-2.13
11 O 0.3432 0.0000 0.6014  2 Ti 1.92, 1 Ni 2.01
12 O 0.1568 0.0000 0.1014  2 Ti 1.92, 1 Ni 2.01
13 O 0.8432 0.0000 0.8986  2 Ti 1.92, 1 Ni 2.01
14 O 0.6568 0.0000 0.3986  2 Ti 1.92, 1 Ni 2.01
15 O 0.8556 0.3602 0.1084  2 Ti 1.97-1.99, 2 Li 1.98-2.04, 1 Ni 2.13
16 O 0.1444 0.6398 0.8916  2 Ti 1.97-1.99, 2 Li 1.98-2.04, 1 Ni 2.13
17 O 0.9954 0.6398 0.3916  2 Ti 1.97-1.99, 2 Li 1.98-2.04, 1 Ni 2.13
18 O 0.6444 0.6398 0.6084  2 Ti 1.97-1.99, 2 Li 1.98-2.04, 1 Ni 2.13
19 O 0.5046 0.3602 0.8916  2 Ti 1.97-1.99, 2 Li 1.98-2.04, 1 Ni 2.13
20 O 0.3556 0.3602 0.3916  2 Ti 1.97-1.99, 2 Li 1.98-2.04, 1 Ni 2.13
21 O 0.0046 0.3602 0.6084  2 Ti 1.97-1.99, 2 Li 1.98-2.04, 1 Ni 2.13
22 O 0.4954 0.6398 0.1084  2 Ti 1.97-1.99, 2 Li 1.98-2.04, 1 Ni 2.13

=====

2.
Material: LiTiNiO4
Method: DFT, PBEsol
State: optimized geometry

Summary:
Uncorrected energy (eV per atom): -7.39
Energy relative to the elements, uncorrected (eV/atom): -2.036
Space group: No. 15
Size of the total moment (Bohr magnetons per cell): 2.03

Unit cell a=5.6991 b=5.6991 c=5.7952 alpha=118.06 beta=117.96 gamma=92.57
Last column: nearest neighbours and their distance in Å.
Sites, in units of the cell vectors:
1 Li 0.3829 0.1329 0.7500  4 O 1.93-1.97
2 Li 0.6171 0.8671 0.2500  4 O 1.93-1.97
3 Ti 0.0000 0.0000 0.0000  6 O 1.93-1.99
4 Ti 0.0000 0.5000 0.5000  6 O 1.93-1.99
5 Ni 0.0000 0.5000 0.0000  6 O 1.90-2.06
6 Ni 0.5000 0.5000 0.5000  6 O 1.90-2.06
7 O 0.2317 0.2546 0.4668  1 Ni 1.90, 1 Li 1.93, 2 Ti 1.97-1.99
8 O 0.7878 0.2649 0.0332  1 Ni 1.90, 1 Li 1.93, 2 Ti 1.97-1.99
9 O 0.2122 0.7351 0.9668  1 Ni 1.90, 1 Li 1.93, 2 Ti 1.97-1.99
10 O 0.7683 0.7454 0.5332  1 Ni 1.90, 1 Li 1.93, 2 Ti 1.97-1.99
11 O 0.2340 0.2705 0.0163  2 Ni 1.91-2.06, 1 Ti 1.93, 1 Li 1.97
12 O 0.2542 0.7178 0.4837  2 Ni 1.91-2.06, 1 Ti 1.93, 1 Li 1.97
13 O 0.7660 0.7295 0.9837  2 Ni 1.91-2.06, 1 Ti 1.93, 1 Li 1.97
14 O 0.7458 0.2822 0.5163  2 Ni 1.91-2.06, 1 Ti 1.93, 1 Li 1.97

=====

3.
Material: Li3TiNi4O8
Method: DFT, PBEsol
State: optimized geometry

Summary:
Uncorrected energy (eV per atom): -6.60
Energy relative to the elements, uncorrected (eV/atom): -1.543
Space group: No. 2
Size of the total moment (Bohr magnetons per cell): 2.98

Unit cell a=5.7492 b=5.7744 c=5.7561 alpha=90.02 beta=119.23 gamma=120.12
Last column: nearest neighbours and their distance in Å.
Sites, in units of the cell vectors:
1 Li 0.0000 0.0000 0.5000  6 O 2.10-2.13
2 Li 0.5000 0.0000 0.5000  6 O 2.02-2.13
3 Li 0.5000 0.5000 0.5000  6 O 2.03-2.12
4 Ti 0.0000 0.5000 0.0000  6 O 1.98
5 Ni 0.0000 0.0000 0.0000  6 O 2.04-2.05
6 Ni 0.5000 0.5000 0.0000  6 O 1.95-2.08
7 Ni 0.0000 0.5000 0.5000  6 O 2.04-2.06
8 Ni 0.5000 0.0000 0.0000  6 O 1.96-2.07
9 O 0.5179 0.2608 0.7737  2 Ni 1.97-1.99, 1 Ti 1.98, 3 Li 2.09-2.13
10 O 0.4821 0.7392 0.2263  2 Ni 1.97-1.99, 1 Ti 1.98, 3 Li 2.09-2.13
11 O 0.5011 0.7486 0.7713  4 Ni 1.95-2.06, 2 Li 2.12-2.13
12 O 0.4989 0.2514 0.2287  4 Ni 1.95-2.06, 2 Li 2.12-2.13
13 O 0.9926 0.2540 0.7534  1 Ti 1.98, 2 Li 2.02-2.10, 3 Ni 2.04-2.08
14 O 0.9950 0.7399 0.7545  1 Ti 1.98, 2 Li 2.03-2.10, 3 Ni 2.04-2.07
15 O 0.0050 0.2601 0.2455  1 Ti 1.98, 2 Li 2.03-2.10, 3 Ni 2.04-2.07
16 O 0.0074 0.7460 0.2466  1 Ti 1.98, 2 Li 2.02-2.10, 3 Ni 2.04-2.08

=====

4.
Material: Li4TiNi3O8
Method: DFT, PBEsol
State: optimized geometry

Summary:
Uncorrected energy (eV per atom): -6.50
Energy relative to the elements, uncorrected (eV/atom): -1.706
Space group: No. 1
Size of the total moment (Bohr magnetons per cell): 8.00

Unit cell a=5.7389 b=5.7940 c=9.9538 alpha=73.08 beta=89.62 gamma=60.56
Last column: nearest neighbours and their distance in Å.
Sites, in units of the cell vectors:
1 Li 0.2583 0.5008 0.7498  6 O 2.07-2.16
2 Li 0.7405 0.5001 0.2502  6 O 2.07-2.18
3 Li 0.9984 0.5047 0.0012  6 O 2.01-2.20
4 Li 0.5006 0.4955 0.4993  6 O 2.01-2.24
5 Li 0.4930 0.5146 0.9981  6 O 2.03-2.24
6 Li 0.0091 0.4861 0.5006  6 O 2.05-2.18
7 Li 0.7571 0.4993 0.7485  6 O 2.01-2.25
8 Li 0.2470 0.4977 0.2515  6 O 2.02-2.18
9 Ti 0.5238 0.9780 0.4996  6 O 1.92-2.06
10 Ti 0.9777 0.0213 0.0006  6 O 1.91-2.03
11 Ni 0.7526 0.0018 0.7503  6 O 1.96-2.08
12 Ni 0.2466 0.9976 0.2501  6 O 1.90-2.10
13 Ni 0.0081 0.9932 0.5000  6 O 1.91-2.09
14 Ni 0.2544 0.9983 0.7494  6 O 1.89-2.10
15 Ni 0.7451 0.0016 0.2507  6 O 1.95-2.07
16 Ni 0.4913 0.0072 0.9998  6 O 1.90-2.09
17 O 0.9149 0.2003 0.6289  3 Ni 1.89-1.97, 1 Li 2.07
18 O 0.3860 0.2074 0.1331  3 Ni 1.90-1.96
19 O 0.1030 0.7910 0.3670  3 Ni 1.90-1.95
20 O 0.5947 0.8008 0.8714  3 Ni 1.90-1.96, 1 Li 2.10
21 O 0.6366 0.2526 0.8764  1 Ti 1.91, 3 Li 2.01-2.07, 2 Ni 2.06-2.09
22 O 0.1432 0.2155 0.3769  2 Ni 1.93-1.95, 1 Ti 2.06, 2 Li 2.08-2.12
23 O 0.3421 0.7738 0.1284  2 Ni 1.91-2.08, 3 Li 2.02-2.14, 1 Ti 2.02
24 O 0.8790 0.7574 0.6180  1 Ti 1.94, 2 Ni 1.96-2.08, 3 Li 2.07-2.10
25 O 0.8540 0.7730 0.1122  2 Ni 1.95-2.07, 1 Ti 1.97, 2 Li 2.01-2.13
26 O 0.3924 0.7496 0.6207  1 Ti 1.95, 3 Li 2.02-2.08, 2 Ni 2.07
27 O 0.1339 0.2399 0.8860  2 Ni 1.93-2.10, 1 Ti 1.99, 3 Li 2.03-2.12
28 O 0.6165 0.2410 0.3810  1 Ti 1.93, 3 Li 2.01-2.09, 2 Ni 2.04-2.09
29 O 0.3811 0.2191 0.6269  2 Ni 1.91-2.03, 1 Ti 2.03, 2 Li 2.05-2.13
30 O 0.8644 0.2507 0.1213  1 Ti 1.92, 2 Ni 2.02-2.09, 3 Li 2.03-2.07
31 O 0.6301 0.7489 0.3789  1 Ti 1.92, 2 Ni 2.02-2.10, 3 Li 2.04-2.07
32 O 0.1243 0.7810 0.8733  2 Ni 1.92-2.03, 1 Li 2.03, 1 Ti 2.03

=====

5.
Material: Li11Ti12Ni4O32
Method: DFT, PBEsol
State: optimized geometry

Summary:
Uncorrected energy (eV per atom): -7.81
Energy relative to the elements, uncorrected (eV/atom): -2.487
Space group: No. 155
Size of the total moment (Bohr magnetons per cell): 4.96

Unit cell a=8.3030 b=8.3030 c=8.3030 alpha=90.01 beta=90.01 gamma=90.01
Last column: nearest neighbours and their distance in Å.
Sites, in units of the cell vectors:
1 Li 0.1319 0.1319 0.1319  4 O 1.92-1.93
2 Li 0.2397 0.7603 0.5000  4 O 1.96-2.09
3 Li 0.2513 0.5000 0.7487  6 O 2.12-2.19
4 Li 0.5104 0.0000 0.4896  4 O 2.02-2.09
5 Li 0.5000 0.2397 0.7603  4 O 1.96-2.09
6 Li 0.5000 0.7487 0.2513  6 O 2.12-2.19
7 Li 0.4896 0.5104 0.0000  4 O 2.02-2.09
8 Li 0.7487 0.2513 0.5000  6 O 2.12-2.19
9 Li 0.7603 0.5000 0.2397  4 O 1.96-2.09
10 Li 0.8681 0.8681 0.8681  4 O 1.92-1.93
11 Li 0.0000 0.4896 0.5104  4 O 2.02-2.09
12 Ti 0.2349 0.0000 0.7651  6 O 1.88-2.07
13 Ti 0.2565 0.2445 0.5048  6 O 1.89-2.06
14 Ti 0.2445 0.5048 0.2565  6 O 1.89-2.06
15 Ti 0.4952 0.7555 0.7435  6 O 1.89-2.06
16 Ti 0.5000 0.9877 0.0123  6 O 1.89-2.06
17 Ti 0.5048 0.2565 0.2445  6 O 1.89-2.06
18 Ti 0.7555 0.7435 0.4952  6 O 1.89-2.06
19 Ti 0.7435 0.4952 0.7555  6 O 1.89-2.06
20 Ti 0.7651 0.2349 0.0000  6 O 1.88-2.07
21 Ti 0.9877 0.0123 0.5000  6 O 1.89-2.06
22 Ti 0.0000 0.7651 0.2349  6 O 1.88-2.07
23 Ti 0.0123 0.5000 0.9877  6 O 1.89-2.06
24 Ni 0.2378 0.7622 0.0000  6 O 2.00-2.22
25 Ni 0.5000 0.5000 0.5000  6 O 2.14
26 Ni 0.7622 0.0000 0.2378  6 O 2.00-2.22
27 Ni 0.0000 0.2378 0.7622  6 O 2.00-2.22
28 O 0.2657 0.2374 0.7316  2 Ti 1.89-2.01, 1 Li 1.96
29 O 0.2353 0.0118 0.5158  3 Ti 1.94-2.07, 1 Li 2.09
30 O 0.2374 0.7316 0.2657  2 Ti 1.89-2.01, 1 Li 1.96
31 O 0.2381 0.5097 0.0090  2 Ti 1.89-2.06, 1 Li 2.09, 1 Ni 2.10
32 O 0.2684 0.7626 0.7343  2 Ti 1.89-2.01, 1 Li 1.96
33 O 0.2620 0.0014 0.9902  2 Ti 1.88-1.99, 1 Li 1.93, 1 Ni 2.00
34 O 0.2655 0.2655 0.2655  1 Li 1.92, 3 Ti 2.00
35 O 0.2427 0.4840 0.4936  2 Ti 1.98-1.99, 2 Li 2.02-2.12, 1 Ni 2.14
36 O 0.4903 0.7619 0.9910  2 Ti 1.89-2.06, 1 Li 2.09, 1 Ni 2.10
37 O 0.4842 0.9882 0.7647  3 Ti 1.94-2.07, 1 Li 2.09
38 O 0.4936 0.2427 0.4840  2 Ti 1.98-1.99, 2 Li 2.02-2.12, 1 Ni 2.14
39 O 0.4840 0.4936 0.2427  2 Ti 1.98-1.99, 2 Li 2.02-2.12, 1 Ni 2.14
40 O 0.5160 0.7573 0.5064  2 Ti 1.98-1.99, 2 Li 2.02-2.12, 1 Ni 2.14
41 O 0.5064 0.5160 0.7573  2 Ti 1.98-1.99, 2 Li 2.02-2.12, 1 Ni 2.14
42 O 0.5158 0.2353 0.0118  3 Ti 1.94-2.07, 1 Li 2.09
43 O 0.5097 0.0090 0.2381  2 Ti 1.89-2.06, 1 Li 2.09, 1 Ni 2.10
44 O 0.7573 0.5064 0.5160  2 Ti 1.98-1.99, 2 Li 2.02-2.12, 1 Ni 2.14
45 O 0.7345 0.7345 0.7345  1 Li 1.92, 3 Ti 2.00
46 O 0.7380 0.0098 0.9986  2 Ti 1.88-1.99, 1 Li 1.93, 1 Ni 2.00
47 O 0.7316 0.2657 0.2374  2 Ti 1.89-2.01, 1 Li 1.96
48 O 0.7619 0.9910 0.4903  2 Ti 1.89-2.06, 1 Li 2.09, 1 Ni 2.10
49 O 0.7626 0.7343 0.2684  2 Ti 1.89-2.01, 1 Li 1.96
50 O 0.7647 0.4842 0.9882  3 Ti 1.94-2.07, 1 Li 2.09
51 O 0.7343 0.2684 0.7626  2 Ti 1.89-2.01, 1 Li 1.96
52 O 0.0014 0.9902 0.2620  2 Ti 1.88-1.99, 1 Li 1.93, 1 Ni 2.00
53 O 0.9882 0.7647 0.4842  3 Ti 1.94-2.07, 1 Li 2.09
54 O 0.9910 0.4903 0.7619  2 Ti 1.89-2.06, 1 Li 2.09, 1 Ni 2.10
55 O 0.9902 0.2620 0.0014  2 Ti 1.88-1.99, 1 Li 1.93, 1 Ni 2.00
56 O 0.0098 0.9986 0.7380  2 Ti 1.88-1.99, 1 Li 1.93, 1 Ni 2.00
57 O 0.0090 0.2381 0.5097  2 Ti 1.89-2.06, 1 Li 2.09, 1 Ni 2.10
58 O 0.0118 0.5158 0.2353  3 Ti 1.94-2.07, 1 Li 2.09
59 O 0.9986 0.7380 0.0098  2 Ti 1.88-1.99, 1 Li 1.93, 1 Ni 2.00